# ScTeS2

A crystal of ScTeS2 relaxed with PBEsol (meta-GGA SCAN, Alexandria).

abc: 8.3489 8.3489 8.3489
angles: 25.29 25.29 25.29
With the nearest neighbours (Å) after each atom.
Fractional coordinates of all 4 atoms:
Sc1 0.0000 0.0000 0.0000  6 S 2.54
Te1 0.5000 0.5000 0.5000  2 S 2.62
S1 0.3919 0.3919 0.3919  3 Sc 2.54, 1 Te 2.62
S2 0.6081 0.6081 0.6081  3 Sc 2.54, 1 Te 2.62

formation energy (no corrections) = -4.96 eV per formula unit
E = -75.71 eV per cell
V = 93 Å³/cell

# Sc3TeS

A crystal of Sc3TeS relaxed with PBEsol (meta-GGA SCAN, Alexandria).

abc: 5.2252 5.2252 5.2252
angles: 90.00 90.00 90.00
With the nearest neighbours (Å) after each atom.
Fractional coordinates of all 5 atoms:
Sc1 0.0000 0.0000 0.5000  2 Te 2.61
Sc2 0.0000 0.5000 0.0000  2 Te 2.61
Sc3 0.5000 0.0000 0.0000  2 Te 2.61
Te1 0.0000 0.0000 0.0000  6 Sc 2.61
S1 0.5000 0.5000 0.5000  12 Sc 3.69

formation energy (no corrections) = 0.88 eV per formula unit
E = -88.71 eV per cell
V = 143 Å³/cell

# ScTe3S

A crystal of ScTe3S relaxed with PBEsol (meta-GGA SCAN, Alexandria).

abc: 5.3556 5.3556 5.3556
angles: 90.00 90.00 90.00
With the nearest neighbours (Å) after each atom.
Fractional coordinates of all 5 atoms:
Sc1 0.0000 0.0000 0.0000  6 Te 2.68
Te1 0.0000 0.0000 0.5000  2 Sc 2.68
Te2 0.0000 0.5000 0.0000  2 Sc 2.68
Te3 0.5000 0.0000 0.0000  2 Sc 2.68
S1 0.5000 0.5000 0.5000  12 Te 3.79

formation energy (no corrections) = 1.15 eV per formula unit
E = -134.47 eV per cell
V = 154 Å³/cell

# ScTl3S

A crystal of ScTl3S relaxed with PBEsol (meta-GGA SCAN, Alexandria).

abc: 5.2920 5.2920 5.2920
angles: 90.00 90.00 90.00
With the nearest neighbours (Å) after each atom.
Fractional coordinates of all 5 atoms:
Sc1 0.0000 0.0000 0.0000  12 Tl 3.74
Tl1 0.0000 0.5000 0.5000  2 S 2.65
Tl2 0.5000 0.0000 0.5000  2 S 2.65
Tl3 0.5000 0.5000 0.0000  2 S 2.65
S1 0.5000 0.5000 0.5000  6 Tl 2.65

formation energy (no corrections) = 2.41 eV per formula unit
E = -238.53 eV per cell
V = 148 Å³/cell

# Sc3TlS

A crystal of Sc3TlS relaxed with PBEsol (meta-GGA SCAN, Alexandria).

abc: 4.7559 4.7559 4.7559
angles: 90.00 90.00 90.00
With the nearest neighbours (Å) after each atom.
Fractional coordinates of all 5 atoms:
Sc1 0.0000 0.0000 0.5000  2 S 2.38
Sc2 0.0000 0.5000 0.0000  2 S 2.38
Sc3 0.5000 0.0000 0.0000  2 S 2.38
Tl1 0.5000 0.5000 0.5000  12 Sc 3.36
S1 0.0000 0.0000 0.0000  6 Sc 2.38

formation energy (no corrections) = -5.04 eV per formula unit
E = -129.73 eV per cell
V = 108 Å³/cell

# ScWS3

A crystal of ScWS3 relaxed with PBEsol (meta-GGA SCAN, Alexandria).

abc: 4.6213 4.6213 4.6213
angles: 90.00 90.00 90.00
With the nearest neighbours (Å) after each atom.
Fractional coordinates of all 5 atoms:
Sc1 0.0000 0.0000 0.0000  12 S 3.27
W1 0.5000 0.5000 0.5000  6 S 2.31
S1 0.0000 0.5000 0.5000  2 W 2.31
S2 0.5000 0.0000 0.5000  2 W 2.31
S3 0.5000 0.5000 0.0000  2 W 2.31

formation energy (no corrections) = -1.60 eV per formula unit
E = -114.41 eV per cell
V = 99 Å³/cell

# ScZnS2

A crystal of ScZnS2 relaxed with PBEsol (meta-GGA SCAN, Alexandria).

abc: 7.6460 7.6460 7.6460
angles: 27.60 27.60 27.60
With the nearest neighbours (Å) after each atom.
Fractional coordinates of all 4 atoms:
Sc1 0.0000 0.0000 0.0000  6 S 2.55
Zn1 0.5000 0.5000 0.5000  2 S 2.24
S1 0.3984 0.3984 0.3984  1 Zn 2.24
S2 0.6016 0.6016 0.6016  1 Zn 2.24

formation energy (no corrections) = -4.99 eV per formula unit
E = -52.00 eV per cell
V = 85 Å³/cell

# SiSeS3

A crystal of SiSeS3 relaxed with PBEsol (meta-GGA SCAN, Alexandria).

abc: 4.4428 4.4428 4.4428
angles: 90.00 90.00 90.00
With the nearest neighbours (Å) after each atom.
Fractional coordinates of all 5 atoms:
Si1 0.0000 0.0000 0.0000  6 S 2.22
Se1 0.5000 0.5000 0.5000  12 S 3.14
S1 0.0000 0.0000 0.5000  2 Si 2.22
S2 0.0000 0.5000 0.0000  2 Si 2.22
S3 0.5000 0.0000 0.0000  2 Si 2.22

formation energy (no corrections) = 2.66 eV per formula unit
E = -56.32 eV per cell
V = 88 Å³/cell

Among the records above, which one has the lowest formation energy (no corrections)?
Sc3TlS

Which of these has the highest E?
ScZnS2

Copy entry 5 word for word.
# Sc3TlS

A crystal of Sc3TlS relaxed with PBEsol (meta-GGA SCAN, Alexandria).

abc: 4.7559 4.7559 4.7559
angles: 90.00 90.00 90.00
With the nearest neighbours (Å) after each atom.
Fractional coordinates of all 5 atoms:
Sc1 0.0000 0.0000 0.5000  2 S 2.38
Sc2 0.0000 0.5000 0.0000  2 S 2.38
Sc3 0.5000 0.0000 0.0000  2 S 2.38
Tl1 0.5000 0.5000 0.5000  12 Sc 3.36
S1 0.0000 0.0000 0.0000  6 Sc 2.38

formation energy (no corrections) = -5.04 eV per formula unit
E = -129.73 eV per cell
V = 108 Å³/cell

Among the records above, which one has the lowest formation energy (no corrections)?
Sc3TlS